Entry from the Alexandria database: crystalline KZr2Tl at its relaxed geometry (PBE).

Cell lengths 6.3458, 6.3458, 3.0132 Å; angles 90.00, 90.00, 118.51 degrees
Last column: nearest neighbours and their distance in Å.
Fractional coordinates of all 4 atoms:
Zr: 0.5000 0.5000 0.0000  4 Zr 3.01-3.24
Zr: 0.0000 0.0000 0.0000  4 Zr 3.01-3.24
K: 0.5000 0.0000 0.5000  2 K 3.01, 2 Tl 3.24
Tl: 0.0000 0.5000 0.5000  2 Tl 3.01, 2 K 3.24

Output
* formation enthalpy at 0 K: 66.6 kJ/mol of atoms
* symmetry: Cmmm, No. 65
* E above lowest polymorph: 529 meV/atom
* electronic total energy: -4.45 eV per atom
* magnetic moment: 0.00 μB/f.u.

Entry from the Alexandria database: crystalline TaTi2Nb6 at its relaxed geometry (PBE).

Cell lengths 4.6527, 4.6527, 9.3743 Å; angles 75.63, 75.63, 60.00 degrees
Last column: nearest neighbours and their distance in Å.
Fractional coordinates of all 9 atoms:
Nb: 0.4148 0.4148 0.7555  3 Ti 2.72, 3 Nb 2.95
Ti: 0.9034 0.9034 0.2899  4 Nb 2.60-2.72, 1 Ta 2.60
Nb: 0.8068 0.8068 0.5795  1 Ti 2.60, 1 Nb 2.81
Ta: 0.0000 0.0000 0.0000  2 Ti 2.60, 6 Nb 2.86
Ti: 0.0966 0.0966 0.7101  4 Nb 2.60-2.72, 1 Ta 2.60
Nb: 0.7026 0.7026 0.8923  4 Nb 2.81-2.95, 3 Ta 2.86, 3 Ti 3.15
Nb: 0.1932 0.1932 0.4205  1 Ti 2.60, 1 Nb 2.81
Nb: 0.2974 0.2974 0.1077  4 Nb 2.81-2.95, 3 Ta 2.86, 3 Ti 3.15
Nb: 0.5852 0.5852 0.2445  3 Ti 2.72, 3 Nb 2.95

Output
* formation enthalpy at 0 K: 27.1 kJ/mol of atoms
* symmetry: R-3m, No. 166
* E above lowest polymorph: 107 meV/atom
* electronic total energy: -9.50 eV per atom
* magnetic moment: 0.00 μB/f.u.